A geometry-optimized AlFeCoOs structure, computed with PBE.

The calculation puts the magnetic moment at 1.02 μB/atom. The formation energy is -0.19 eV per atom.

The space group is F-43m (No. 216) and the conventional cell measures 5.8764, 5.8764 and 5.8764 Å, with angles of 90.00, 90.00 and 90.00 degrees. Symmetry generates all atoms from Al at (0.0000, 0.0000, 0.0000), Fe at (0.0000, 0.0000, 0.5000), Co at (0.2500, 0.2500, 0.2500) and Os at (0.2500, 0.2500, 0.7500).